# PaAsN (PBE, relaxed)
# Relative energy among the computed polymorphs (kJ/mol of formula units): 0.0
# D(E_F) (states/eV/cell): 1.37
# Theoretical density (g/cm3): 9.9
data_PaAsN
_chemical_formula_sum 'Pa4 As4 N4'
_symmetry_space_group_name_H-M 'C 1 2/m 1'
_symmetry_Int_Tables_number 12
_symmetry_space_group_name_Hall '-C 2y'
_cell_length_a 5.452
_cell_length_b 5.592
_cell_length_c 7.092
_cell_angle_alpha 90.00
_cell_angle_beta 98.46
_cell_angle_gamma 90.00
loop_
_atom_site_label
_atom_site_type_symbol
_atom_site_fract_x
_atom_site_fract_y
_atom_site_fract_z
Pa1 Pa 0.224 0.000 0.327
As1 As 0.176 0.500 0.124
N1 N 0.000 0.248 0.500


# Pa4AsN6 (PBE, relaxed)
# Energy (eV/atom): -10.017
# D(E_F) (states/eV/cell): 10.16
# Theoretical density (g/cm3): 10.3
data_Pa4AsN6
_chemical_formula_sum 'Pa8 As2 N12'
_symmetry_space_group_name_H-M 'I 4/m m m'
_symmetry_Int_Tables_number 139
_symmetry_space_group_name_Hall '-I 4 2'
_cell_length_a 3.863
_cell_length_b 3.863
_cell_length_c 23.308
_cell_angle_alpha 90.00
_cell_angle_beta 90.00
_cell_angle_gamma 90.00
loop_
_atom_site_label
_atom_site_type_symbol
_atom_site_fract_x
_atom_site_fract_y
_atom_site_fract_z
Pa1 Pa 0.000 0.000 0.086
Pa2 Pa 0.000 0.000 0.305
As1 As 0.000 0.000 0.500
N1 N 0.000 0.500 0.130
N2 N 0.000 0.500 0.250


# Pa4As2N5 (PBE, relaxed)
# Energy (eV/atom): -9.241
# D(E_F) (states/eV/cell): 8.89
# Theoretical density (g/cm3): 6.9
data_Pa4As2N5
_chemical_formula_sum 'Pa8 As4 N10'
_symmetry_space_group_name_H-M 'C 1 2/m 1'
_symmetry_Int_Tables_number 12
_symmetry_space_group_name_Hall '-C 2y'
_cell_length_a 21.965
_cell_length_b 3.574
_cell_length_c 7.278
_cell_angle_alpha 90.00
_cell_angle_beta 106.41
_cell_angle_gamma 90.00
loop_
_atom_site_label
_atom_site_type_symbol
_atom_site_fract_x
_atom_site_fract_y
_atom_site_fract_z
Pa1 Pa 0.021 0.000 0.299
Pa2 Pa 0.182 0.500 0.381
As1 As 0.057 0.500 0.010
N1 N 0.000 0.500 0.500
N2 N 0.120 0.000 0.410
N3 N 0.238 0.000 0.354


# Pa4As3N4 (PBE, relaxed)
# Energy (eV/atom): -9.267
# D(E_F) (states/eV/cell): 12.32
# Theoretical density (g/cm3): 10.2
data_Pa4As3N4
_chemical_formula_sum 'Pa8 As6 N8'
_symmetry_space_group_name_H-M 'A m m 2'
_symmetry_Int_Tables_number 38
_symmetry_space_group_name_Hall 'A 2 -2'
_cell_length_a 8.078
_cell_length_b 3.900
_cell_length_c 12.494
_cell_angle_alpha 90.00
_cell_angle_beta 90.00
_cell_angle_gamma 90.00
loop_
_atom_site_label
_atom_site_type_symbol
_atom_site_fract_x
_atom_site_fract_y
_atom_site_fract_z
Pa1 Pa 0.000 0.000 0.000
Pa2 Pa 0.240 0.000 0.693
Pa3 Pa 0.500 0.000 0.012
As1 As 0.000 0.000 0.314
As2 As 0.332 0.000 0.366
N1 N 0.000 0.000 0.590
N2 N 0.246 0.000 0.096
N3 N 0.500 0.000 0.618


# Pa4As5N (PBE, relaxed)
# Energy (eV/atom): -7.688
# D(E_F) (states/eV/cell): 15.22
# Theoretical density (g/cm3): 9.1
data_Pa4As5N
_chemical_formula_sum 'Pa8 As10 N2'
_symmetry_space_group_name_H-M 'I m m m'
_symmetry_Int_Tables_number 71
_symmetry_space_group_name_Hall '-I 2 2'
_cell_length_a 3.887
_cell_length_b 7.170
_cell_length_c 17.269
_cell_angle_alpha 90.00
_cell_angle_beta 90.00
_cell_angle_gamma 90.00
loop_
_atom_site_label
_atom_site_type_symbol
_atom_site_fract_x
_atom_site_fract_y
_atom_site_fract_z
Pa1 Pa 0.000 0.000 0.201
Pa2 Pa 0.000 0.292 0.500
As1 As 0.000 0.223 0.337
As2 As 0.000 0.500 0.000
N1 N 0.000 0.000 0.000


# Pa3As2N2 (PBE, relaxed)
# Energy (eV/atom): -9.173
# D(E_F) (states/eV/cell): 24.80
# Theoretical density (g/cm3): 10.6
data_Pa3As2N2
_chemical_formula_sum 'Pa12 As8 N8'
_symmetry_space_group_name_H-M 'C 1 2/m 1'
_symmetry_Int_Tables_number 12
_symmetry_space_group_name_Hall '-C 2y'
_cell_length_a 14.924
_cell_length_b 3.891
_cell_length_c 11.240
_cell_angle_alpha 90.00
_cell_angle_beta 123.55
_cell_angle_gamma 90.00
loop_
_atom_site_label
_atom_site_type_symbol
_atom_site_fract_x
_atom_site_fract_y
_atom_site_fract_z
Pa1 Pa 0.078 0.000 0.147
Pa2 Pa 0.100 0.500 0.459
Pa3 Pa 0.138 0.000 0.786
As1 As 0.120 0.500 0.976
As2 As 0.236 0.500 0.346
N1 N 0.040 0.000 0.315
N2 N 0.080 0.500 0.651